Entry from Alexandria: an optimized crystal structure of Ba3SiI (PBE).

The calculation puts the volume at 46.16 Å³ per atom. For the energy above the most stable polymorph in this dataset, the calculation gives 0 meV per atom. For the uncorrected formation energy, the calculation gives -3.30 eV/f.u.

```
10
Lattice="4.985 0.000 0.000 0.000 8.337 0.000 0.000 0.000 11.107" Properties=species:S:1:pos:R:3 pbc="T T T"
Ba 3.739 4.108 1.609
Ba 1.246 4.228 9.498
Ba 3.739 0.060 1.609
Ba 1.246 8.277 9.498
Ba 3.739 2.084 6.649
Ba 1.246 6.252 4.459
Si 3.739 2.084 9.913
Si 1.246 6.252 1.194
I 1.246 2.084 3.745
I 3.739 6.252 7.363
```